Sm6Dy8Sc after structural relaxation, computed with GGA-PBE.

Cell lengths 8.6297, 8.6297, 8.6297 Å; angles 63.30, 63.30, 63.30 degrees
Atoms (fractional coordinates):
Sm 0.0421 0.7266 0.6050
Sm 0.2734 0.3950 0.9579
Sm 0.3950 0.9579 0.2734
Sm 0.6050 0.0421 0.7266
Sm 0.7266 0.6050 0.0421
Sm 0.9579 0.2734 0.3950
Dy 0.0770 0.0770 0.0770
Dy 0.2206 0.2490 0.6109
Dy 0.2490 0.6109 0.2206
Dy 0.3891 0.7794 0.7510
Dy 0.6109 0.2206 0.2490
Dy 0.7510 0.3891 0.7794
Dy 0.7794 0.7510 0.3891
Dy 0.9230 0.9230 0.9230
Sc 0.5000 0.5000 0.5000

Results
Energy of formation from the pure elements, eV per atom: 0.116
V, Å³ per cell: 487.6
Symmetry: R-3, No. 148
Relative energy among the computed polymorphs, meV per atom: 0